Crystalline TiWNF2 at its relaxed geometry, computed with GGA-PBEsol.

a = 4.0767 Å, b = 4.0767 Å, c = 3.9332 Å
α = 90.00°, β = 90.00°, γ = 90.00°
Closest atoms and distances in Å follow each position.
Space group P4/mmm (No. 123)
One atom of each set of equivalent atoms:
Ti1 0.0000 0.0000 0.0000  8 F 2.83, 4 N 2.88
W1 0.5000 0.5000 0.5000  2 N 1.97, 4 F 2.04
N1 0.5000 0.5000 0.0000  2 W 1.97
F1 0.0000 0.5000 0.5000  2 W 2.04

Calculated values
density of states at the Fermi level	6.1	states/eV/f.u.
E	-7.422	eV per atom
raw formation energy	-0.520	eV per atom